{"formula": "PmHg2Te", "functional": "PBE-GGA", "state": "optimized geometry", "polymorph_energy_mev_per_atom": 847, "rho_g_cm3": 9.03, "dos_at_fermi_per_ev_atom": 0.89, "sg": "R-3m, No. 166", "lattice": [[3.5146, 0.0000, 0.0000], [-1.7573, 3.0437, 0.0000], [0.0000, 0.0000, 34.7643]], "species": ["Pm", "Pm", "Pm", "Hg", "Hg", "Hg", "Hg", "Hg", "Hg", "Te", "Te", "Te"], "frac_coords": [[0.0000, 0.0000, 0.0000], [0.3333, 0.6667, 0.6667], [0.6667, 0.3333, 0.3333], [0.0000, 0.0000, 0.0889], [0.0000, 0.0000, 0.9111], [0.3333, 0.6667, 0.5778], [0.3333, 0.6667, 0.7555], [0.6667, 0.3333, 0.2445], [0.6667, 0.3333, 0.4222], [0.0000, 0.0000, 0.5000], [0.3333, 0.6667, 0.1667], [0.6667, 0.3333, 0.8333]]}

=====

{"formula": "Pm3HgTe6", "functional": "PBE-GGA", "state": "optimized geometry", "energy_ev_per_atom": -4.3854, "rho_g_cm3": 6.74, "dos_at_fermi_per_ev_atom": 0.73, "sg": "Cmc2_1, No. 36", "lattice": [[6.0433, -7.6940, 0.0000], [6.0433, 7.6940, 0.0000], [0.0000, 0.0000, 7.4288]], "species": ["Pm", "Pm", "Pm", "Pm", "Pm", "Pm", "Hg", "Hg", "Te", "Te", "Te", "Te", "Te", "Te", "Te", "Te", "Te", "Te", "Te", "Te"], "frac_coords": [[0.0966, 0.9034, 0.5000], [0.2268, 0.4150, 0.3841], [0.4150, 0.2268, 0.8841], [0.5850, 0.7732, 0.3841], [0.7732, 0.5850, 0.8841], [0.9034, 0.0966, 0.0000], [0.2862, 0.7138, 0.8570], [0.7138, 0.2862, 0.3570], [0.0447, 0.5826, 0.6413], [0.1240, 0.2003, 0.6934], [0.2003, 0.1240, 0.1934], [0.2696, 0.7304, 0.2352], [0.4174, 0.9553, 0.6413], [0.4631, 0.5369, 0.6925], [0.5369, 0.4631, 0.1925], [0.5826, 0.0447, 0.1413], [0.7304, 0.2696, 0.7352], [0.7997, 0.8760, 0.6934], [0.8760, 0.7997, 0.1934], [0.9553, 0.4174, 0.1413]]}

=====

{"formula": "Pm5HgTe3", "functional": "PBE-GGA", "state": "optimized geometry", "energy_ev_per_atom": -4.7139, "rho_g_cm3": 8.59, "dos_at_fermi_per_ev_atom": 0.98, "sg": "P6_3/mcm, No. 193", "lattice": [[9.5026, 0.0000, 0.0000], [-4.7513, 8.2295, 0.0000], [0.0000, 0.0000, 6.4718]], "species": ["Pm", "Pm", "Pm", "Pm", "Pm", "Pm", "Pm", "Pm", "Pm", "Pm", "Hg", "Hg", "Te", "Te", "Te", "Te", "Te", "Te"], "frac_coords": [[0.0000, 0.2770, 0.2500], [0.0000, 0.7230, 0.7500], [0.2770, 0.0000, 0.2500], [0.2770, 0.2770, 0.7500], [0.3333, 0.6667, 0.0000], [0.3333, 0.6667, 0.5000], [0.6667, 0.3333, 0.0000], [0.6667, 0.3333, 0.5000], [0.7230, 0.0000, 0.7500], [0.7230, 0.7230, 0.2500], [0.0000, 0.0000, 0.0000], [0.0000, 0.0000, 0.5000], [0.0000, 0.3808, 0.7500], [0.0000, 0.6192, 0.2500], [0.3808, 0.0000, 0.7500], [0.3808, 0.3808, 0.2500], [0.6192, 0.0000, 0.2500], [0.6192, 0.6192, 0.7500]]}

=====

{"formula": "Pm4HgTe", "functional": "PBE-GGA", "state": "optimized geometry", "energy_ev_per_atom": -4.3500, "rho_g_cm3": 8.28, "dos_at_fermi_per_ev_atom": 1.14, "sg": "Pnma, No. 62", "lattice": [[8.7248, 0.0000, 0.0000], [0.0000, 4.0258, 0.0000], [0.0000, 0.0000, 20.7417]], "species": ["Pm", "Pm", "Pm", "Pm", "Pm", "Pm", "Pm", "Pm", "Pm", "Pm", "Pm", "Pm", "Pm", "Pm", "Pm", "Pm", "Hg", "Hg", "Hg", "Hg", "Te", "Te", "Te", "Te"], "frac_coords": [[0.0115, 0.2500, 0.2223], [0.0181, 0.2500, 0.9254], [0.1302, 0.2500, 0.4326], [0.1596, 0.2500, 0.6583], [0.3404, 0.7500, 0.1583], [0.3698, 0.7500, 0.9326], [0.4819, 0.7500, 0.4254], [0.4885, 0.7500, 0.7223], [0.5115, 0.2500, 0.2777], [0.5181, 0.2500, 0.5746], [0.6302, 0.2500, 0.0674], [0.6596, 0.2500, 0.8417], [0.8404, 0.7500, 0.3417], [0.8698, 0.7500, 0.5674], [0.9819, 0.7500, 0.0746], [0.9885, 0.7500, 0.7777], [0.2390, 0.7500, 0.5443], [0.2610, 0.2500, 0.0443], [0.7390, 0.7500, 0.9557], [0.7610, 0.2500, 0.4557], [0.2192, 0.7500, 0.3122], [0.2808, 0.2500, 0.8122], [0.7192, 0.7500, 0.1878], [0.7808, 0.2500, 0.6878]]}

=====

{"formula": "PmHg2Te", "functional": "PBE-GGA", "state": "optimized geometry", "polymorph_energy_mev_per_atom": 0, "rho_g_cm3": 9.96, "dos_at_fermi_per_ev_atom": 0.37, "sg": "P2_1/m, No. 11", "lattice": [[4.4222, 0.0000, 0.0000], [0.0000, 4.3992, 0.0000], [-2.1943, 0.0000, 11.5491]], "species": ["Pm", "Pm", "Hg", "Hg", "Hg", "Hg", "Te", "Te"], "frac_coords": [[0.1646, 0.2500, 0.3263], [0.8354, 0.7500, 0.6737], [0.0567, 0.7500, 0.1094], [0.4419, 0.7500, 0.8879], [0.5581, 0.2500, 0.1121], [0.9433, 0.2500, 0.8906], [0.3038, 0.2500, 0.6097], [0.6962, 0.7500, 0.3903]]}

=====

{"formula": "Pm4HgTe2", "functional": "PBE-GGA", "state": "optimized geometry", "energy_ev_per_atom": -4.4832, "rho_g_cm3": 7.38, "dos_at_fermi_per_ev_atom": 0.99, "sg": "I-42d, No. 122", "lattice": [[-4.8991, 4.8991, 4.8555], [4.8991, -4.8991, 4.8555], [4.8991, 4.8991, -4.8555]], "species": ["Pm", "Pm", "Pm", "Pm", "Pm", "Pm", "Pm", "Pm", "Hg", "Hg", "Te", "Te", "Te", "Te"], "frac_coords": [[0.0579, 0.3657, 0.3038], [0.0619, 0.7541, 0.6962], [0.1157, 0.3079, 0.8038], [0.2459, 0.9421, 0.3078], [0.5041, 0.3119, 0.1962], [0.6343, 0.9381, 0.6922], [0.6881, 0.8843, 0.1922], [0.6921, 0.4959, 0.8078], [0.0000, 0.0000, 0.0000], [0.7500, 0.2500, 0.5000], [0.3725, 0.6250, 0.2475], [0.3750, 0.6225, 0.7475], [0.3775, 0.1250, 0.7525], [0.8750, 0.6275, 0.2525]]}

=====

{"formula": "PmHgTe2", "functional": "PBE-GGA", "state": "optimized geometry", "polymorph_energy_mev_per_atom": 94, "rho_g_cm3": 8.83, "dos_at_fermi_per_ev_atom": 0.50, "sg": "P4/mmm, No. 123", "lattice": [[5.2830, 0.0000, 0.0000], [0.0000, 5.2830, 0.0000], [0.0000, 0.0000, 4.0459]], "species": ["Pm", "Hg", "Te", "Te"], "frac_coords": [[0.0000, 0.0000, 0.0000], [0.5000, 0.5000, 0.0000], [0.0000, 0.5000, 0.5000], [0.5000, 0.0000, 0.5000]]}

=====

{"formula": "PmHg2Te", "functional": "PBE-GGA", "state": "optimized geometry", "polymorph_energy_mev_per_atom": 143, "rho_g_cm3": 10.11, "dos_at_fermi_per_ev_atom": 0.51, "sg": "P4/mmm, No. 123", "lattice": [[4.5047, 0.0000, 0.0000], [0.0000, 4.5047, 0.0000], [0.0000, 0.0000, 5.4561]], "species": ["Pm", "Hg", "Hg", "Te"], "frac_coords": [[0.0000, 0.0000, 0.0000], [0.0000, 0.5000, 0.5000], [0.5000, 0.0000, 0.5000], [0.5000, 0.5000, 0.0000]]}

=====

{"formula": "Pm5HgTe4", "functional": "PBE-GGA", "state": "optimized geometry", "polymorph_energy_mev_per_atom": 27, "rho_g_cm3": 7.61, "dos_at_fermi_per_ev_atom": 0.43, "sg": "I4/mmm, No. 139", "lattice": [[-2.2271, 2.2271, 15.7950], [2.2271, -2.2271, 15.7950], [2.2271, 2.2271, -15.7950]], "species": ["Pm", "Pm", "Pm", "Pm", "Pm", "Hg", "Te", "Te", "Te", "Te"], "frac_coords": [[0.0000, 0.0000, 0.0000], [0.1981, 0.1981, 0.0000], [0.4004, 0.4004, 0.0000], [0.5996, 0.5996, 0.0000], [0.8019, 0.8019, 0.0000], [0.5000, 0.5000, 0.0000], [0.0997, 0.0997, 0.0000], [0.2999, 0.2999, 0.0000], [0.7001, 0.7001, 0.0000], [0.9003, 0.9003, 0.0000]]}

=====

{"formula": "Pm6Hg5Te", "functional": "PBE-GGA", "state": "optimized geometry", "energy_ev_per_atom": -3.3495, "rho_g_cm3": 9.97, "dos_at_fermi_per_ev_atom": 1.10, "sg": "Immm, No. 71", "lattice": [[-2.7106, 3.7652, 8.1627], [2.7106, -3.7652, 8.1627], [2.7106, 3.7652, -8.1627]], "species": ["Pm", "Pm", "Pm", "Pm", "Pm", "Pm", "Hg", "Hg", "Hg", "Hg", "Hg", "Te"], "frac_coords": [[0.0822, 0.3343, 0.7479], [0.2484, 0.0000, 0.2484], [0.4136, 0.6657, 0.7479], [0.5864, 0.3343, 0.2521], [0.7516, 0.0000, 0.7516], [0.9178, 0.6657, 0.2521], [0.1790, 0.1790, 0.0000], [0.3344, 0.8344, 0.5000], [0.5000, 0.5000, 0.0000], [0.6656, 0.1656, 0.5000], [0.8210, 0.8210, 0.0000], [0.0000, 0.5000, 0.5000]]}

=====

{"formula": "PmHgTe2", "functional": "PBE-GGA", "state": "optimized geometry", "polymorph_energy_mev_per_atom": 0, "rho_g_cm3": 8.49, "dos_at_fermi_per_ev_atom": 0.48, "sg": "P4/mmm, No. 123", "lattice": [[4.0815, 0.0000, 0.0000], [0.0000, 4.0815, 0.0000], [0.0000, 0.0000, 7.0515]], "species": ["Pm", "Hg", "Te", "Te"], "frac_coords": [[0.0000, 0.0000, 0.0000], [0.0000, 0.0000, 0.5000], [0.5000, 0.5000, 0.2289], [0.5000, 0.5000, 0.7711]]}

=====

{"formula": "PmHgTe2", "functional": "PBE-GGA", "state": "optimized geometry", "polymorph_energy_mev_per_atom": 22, "rho_g_cm3": 7.28, "dos_at_fermi_per_ev_atom": 0.62, "sg": "R3m, No. 160", "lattice": [[4.5011, 0.0000, 0.0000], [-2.2505, 3.8981, 0.0000], [0.0000, 0.0000, 23.4380]], "species": ["Pm", "Pm", "Pm", "Hg", "Hg", "Hg", "Te", "Te", "Te", "Te", "Te", "Te"], "frac_coords": [[0.0000, 0.0000, 0.0000], [0.3333, 0.6667, 0.6667], [0.6667, 0.3333, 0.3333], [0.0000, 0.0000, 0.1661], [0.3333, 0.6667, 0.8328], [0.6667, 0.3333, 0.4994], [0.0000, 0.0000, 0.4082], [0.0000, 0.0000, 0.5881], [0.3333, 0.6667, 0.0749], [0.3333, 0.6667, 0.2548], [0.6667, 0.3333, 0.7416], [0.6667, 0.3333, 0.9214]]}